Entry 1:
! SrLa2Zn, relaxed, DFT GGA-PBEsol; values from VASP
! E_form	-64	meV per atom
! space group	P4/mmm
! ρ	5.2	g/cm3
&SYSTEM
  ibrav = 0, nat = 4, ntyp = 3
/
ATOMIC_SPECIES
Sr 87.62 Sr.upf
La 138.91 La.upf
Zn 65.41 Zn.upf
CELL_PARAMETERS angstrom
3.839 0.000 0.000
0.000 3.839 0.000
0.000 0.000 9.285
ATOMIC_POSITIONS angstrom
Sr 0.000 0.000 0.000
La 1.920 1.920 3.061
La 1.920 1.920 6.224
Zn 0.000 0.000 4.642

Entry 2:
! SrLaZn, relaxed, DFT GGA-PBEsol; values from VASP
! E_form	-110	meV per atom
! energy above the lowest structure with this stoichiometry	0	meV/atom
! space group	I4mm
! ρ	5.1	g/cm3
&SYSTEM
  ibrav = 0, nat = 3, ntyp = 3
/
ATOMIC_SPECIES
Sr 87.62 Sr.upf
La 138.91 La.upf
Zn 65.41 Zn.upf
CELL_PARAMETERS angstrom
-1.872 1.872 6.839
1.872 -1.872 6.839
1.872 1.872 -6.839
ATOMIC_POSITIONS angstrom
Sr 0.000 0.000 0.000
La 0.000 0.000 3.656
Zn 0.000 0.000 8.845

Asked for final energy across the records above, the calculation gives -3.593; -3.033 eV per atom in order.